Record 1
DFT (PBE) results for La2AgBr after structural relaxation.

Results
As for the density of states at the Fermi level: 3.08 states/eV/f.u. Its formation energy (no corrections) is -0.576 eV per atom. As for the energy above the most stable polymorph in this dataset: 0.734 eV/f.u.

Cell and atoms, written as CIF:
```
data_La2AgBr
_chemical_formula_sum 'La8 Ag4 Br4'
_cell_length_a 7.6335
_cell_length_b 7.6335
_cell_length_c 7.6335
_cell_angle_alpha 90.00
_cell_angle_beta 90.00
_cell_angle_gamma 90.00
_space_group_name_H-M_alt 'F m -3 m'
_space_group_IT_number 225
_space_group_name_Hall '-F 4 2 3'
loop_
_atom_site_label
_atom_site_type_symbol
_atom_site_fract_x
_atom_site_fract_y
_atom_site_fract_z
La1 La 0.2500 0.2500 0.2500
Ag1 Ag 0.0000 0.0000 0.0000
Br1 Br 0.0000 0.0000 0.5000
```

Record 2
DFT (PBE) results for Sr2RhSe after structural relaxation.

Results
As for the density of states at the Fermi level: 2.28 states/eV/f.u. Its formation energy (no corrections) is -0.784 eV per atom.

Cell and atoms, written as CIF:
```
data_Sr2RhSe
_chemical_formula_sum 'Sr4 Rh2 Se2'
_cell_length_a 7.0404
_cell_length_b 7.7968
_cell_length_c 3.7447
_cell_angle_alpha 90.00
_cell_angle_beta 90.00
_cell_angle_gamma 90.00
_space_group_name_H-M_alt 'C m m m'
_space_group_IT_number 65
_space_group_name_Hall '-C 2 2'
loop_
_atom_site_label
_atom_site_type_symbol
_atom_site_fract_x
_atom_site_fract_y
_atom_site_fract_z
Sr1 Sr 0.2500 0.2500 0.0000
Rh1 Rh 0.0000 0.0000 0.5000
Se1 Se 0.0000 0.5000 0.5000
```